Here is an optimized crystal structure of Mn2Sn2Ru from Alexandria via LeMat-Bulk. Energies are from GGA-PBE.

Properties
Volume = 89.7 Å³/f.u.
DFT total energy = -6.44 eV/atom
Energy relative to the elements = 3.41 eV per formula unit
Energy relative to the lowest polymorph listed for this composition = 304.7 meV per atom

Cell lengths 4.9330, 4.9330, 7.3698 Å; angles 90.00, 90.00, 90.00 degrees
Space group I4/mmm (No. 139)
Inequivalent atoms, fractional coordinates:
1 Mn 0.0000 0.0000 0.1332 [4 per cell]
2 Sn 0.0000 0.5000 0.2500 [4 per cell]
3 Ru 0.0000 0.0000 0.5000 [2 per cell]